[1]
A relaxed structure of Sr2YHAu, computed with PBE.

abc: 6.7190 6.7190 5.2356
angles: 90.00 90.00 90.00
Atoms (fractional coordinates):
Sr  0.0000  0.5000  0.0000
Sr  0.5000  0.0000  0.0000
Y  0.0000  0.0000  0.0000
H  0.5000  0.5000  0.5000
Au  0.0000  0.0000  0.5000

Computed properties:
The symmetry is P4/mmm. The calculation puts the calculated total energy at -2.51 eV per atom.

---

[2]
A relaxed structure of Sr2ZnH6Au, computed with PBE.

abc: 5.7841 5.7841 5.7841
angles: 124.35 124.35 82.62
Atoms (fractional coordinates):
Sr  0.0000  0.5000  0.5000
Sr  0.5000  0.0000  0.5000
Zn  0.2816  0.2816  0.0000
H  0.0652  0.0652  0.5121
H  0.0652  0.5531  0.0000
H  0.0820  0.0820  0.0000
H  0.5331  0.5331  0.0000
H  0.5531  0.0652  0.0000
H  0.5531  0.5531  0.4879
Au  0.7371  0.7371  0.0000

Computed properties:
The symmetry is I4mm. The calculation puts the calculated total energy at -3.04 eV per atom.

---

[3]
A relaxed structure of TaH2Au, computed with PBE.

abc: 3.9169 3.9169 3.9169
angles: 60.00 60.00 60.00
Atoms (fractional coordinates):
Ta  0.0000  0.0000  0.0000
H  0.2500  0.2500  0.2500
H  0.7500  0.7500  0.7500
Au  0.5000  0.5000  0.5000

Computed properties:
The symmetry is Fm-3m. For the energy above the most stable polymorph in this dataset, the calculation gives 561 meV/atom.

---

[4]
A relaxed structure of TaHAu2, computed with PBE.

abc: 6.8133 6.8133 6.8133
angles: 27.24 27.24 27.24
Atoms (fractional coordinates):
Ta  0.0000  0.0000  0.0000
H  0.6693  0.6693  0.6693
Au  0.2251  0.2251  0.2251
Au  0.4430  0.4430  0.4430

Computed properties:
The symmetry is R3m. For the energy above the most stable polymorph in this dataset, the calculation gives 0 meV/atom.

---

[5]
A relaxed structure of TaH2Au, computed with PBE.

abc: 5.5496 5.5496 5.5496
angles: 32.38 32.38 32.38
Atoms (fractional coordinates):
Ta  0.0000  0.0000  0.0000
H  0.3844  0.3844  0.3844
H  0.6303  0.6303  0.6303
Au  0.1811  0.1811  0.1811

Computed properties:
The symmetry is R3m. For the energy above the most stable polymorph in this dataset, the calculation gives 0 meV/atom.

---

[6]
A relaxed structure of TaHAu2, computed with PBE.

abc: 4.4850 4.4850 4.4850
angles: 60.00 60.00 60.00
Atoms (fractional coordinates):
Ta  0.0000  0.0000  0.0000
H  0.5000  0.5000  0.5000
Au  0.2500  0.2500  0.2500
Au  0.7500  0.7500  0.7500

Computed properties:
The symmetry is Fm-3m. For the energy above the most stable polymorph in this dataset, the calculation gives 786 meV/atom.

---

[7]
A relaxed structure of TaH2Au2, computed with PBE.

abc: 5.4293 5.4293 4.3278
angles: 90.00 90.00 90.00
Atoms (fractional coordinates):
Ta  0.0000  0.0000  0.0000
Ta  0.5000  0.5000  0.0000
H  0.1795  0.3205  0.0000
H  0.3205  0.8205  0.0000
H  0.6795  0.1795  0.0000
H  0.8205  0.6795  0.0000
Au  0.1815  0.3185  0.5000
Au  0.3185  0.8185  0.5000
Au  0.6815  0.1815  0.5000
Au  0.8185  0.6815  0.5000

Computed properties:
The symmetry is P4/mbm. The calculation puts the calculated total energy at -4.81 eV per atom.

---

[8]
A relaxed structure of TaHAu2, computed with PBE.

abc: 5.4127 5.4127 5.4127
angles: 112.03 112.03 104.46
Atoms (fractional coordinates):
Ta  0.0000  0.0000  0.0000
Ta  0.7500  0.2500  0.5000
H  0.2500  0.7500  0.5000
H  0.5000  0.5000  0.0000
Au  0.2279  0.1250  0.6029
Au  0.3750  0.7721  0.8971
Au  0.5221  0.6250  0.3971
Au  0.8750  0.4779  0.1029

Computed properties:
The symmetry is I-42d. For the energy above the most stable polymorph in this dataset, the calculation gives 560 meV/atom.

---

[9]
A relaxed structure of Ta3HAu, computed with PBE.

abc: 4.1840 4.1840 4.1840
angles: 90.00 90.00 90.00
Atoms (fractional coordinates):
Ta  0.0000  0.0000  0.5000
Ta  0.0000  0.5000  0.0000
Ta  0.5000  0.0000  0.0000
H  0.0000  0.0000  0.0000
Au  0.5000  0.5000  0.5000

Computed properties:
The symmetry is Pm-3m. For the energy above the most stable polymorph in this dataset, the calculation gives 0 meV/atom.

---

[10]
A relaxed structure of TaH2Au, computed with PBE.

abc: 5.5961 5.5961 5.5961
angles: 134.44 134.44 66.40
Atoms (fractional coordinates):
Ta  0.0000  0.0000  0.0000
Ta  0.7500  0.2500  0.5000
H  0.0791  0.6250  0.9541
H  0.3750  0.3291  0.4541
H  0.6709  0.1250  0.0459
H  0.8750  0.9209  0.5459
Au  0.2500  0.7500  0.5000
Au  0.5000  0.5000  0.0000

Computed properties:
The symmetry is I-42d. For the energy above the most stable polymorph in this dataset, the calculation gives 242 meV/atom.

---

[11]
A relaxed structure of Ta2TcHAu, computed with PBE.

abc: 4.1565 4.1565 3.9965
angles: 90.00 90.00 90.00
Atoms (fractional coordinates):
Ta  0.0000  0.5000  0.0000
Ta  0.5000  0.0000  0.0000
Tc  0.0000  0.0000  0.5000
H  0.0000  0.0000  0.0000
Au  0.5000  0.5000  0.5000

Computed properties:
The symmetry is P4/mmm. The calculation puts the calculated total energy at -8.25 eV per atom.

---

[12]
A relaxed structure of Ta2TeHAu, computed with PBE.

abc: 5.0972 5.0972 5.1764
angles: 90.00 90.00 90.00
Atoms (fractional coordinates):
Ta  0.0000  0.5000  0.0000
Ta  0.5000  0.0000  0.0000
Te  0.0000  0.0000  0.0000
H  0.5000  0.5000  0.5000
Au  0.0000  0.0000  0.5000

Computed properties:
The symmetry is P4/mmm. The calculation puts the calculated total energy at -4.48 eV per atom.

---

[13]
A relaxed structure of Ta2TiHAu, computed with PBE.

abc: 4.0918 4.0918 4.2877
angles: 90.00 90.00 90.00
Atoms (fractional coordinates):
Ta  0.0000  0.5000  0.0000
Ta  0.5000  0.0000  0.0000
Ti  0.0000  0.0000  0.5000
H  0.0000  0.0000  0.0000
Au  0.5000  0.5000  0.5000

Computed properties:
The symmetry is P4/mmm. The calculation puts the calculated total energy at -7.79 eV per atom.

---

[14]
A relaxed structure of TaTi2HAu, computed with PBE.

abc: 4.1310 4.1310 4.0979
angles: 90.00 90.00 90.00
Atoms (fractional coordinates):
Ta  0.0000  0.0000  0.0000
Ti  0.0000  0.5000  0.5000
Ti  0.5000  0.0000  0.5000
H  0.0000  0.0000  0.5000
Au  0.5000  0.5000  0.0000

Computed properties:
The symmetry is P4/mmm. The calculation puts the calculated total energy at -7.11 eV per atom.

---

[15]
A relaxed structure of Ta2VHAu, computed with PBE.

abc: 4.2099 4.2099 3.8885
angles: 90.00 90.00 90.00
Atoms (fractional coordinates):
Ta  0.0000  0.5000  0.0000
Ta  0.5000  0.0000  0.0000
V  0.0000  0.0000  0.5000
H  0.0000  0.0000  0.0000
Au  0.5000  0.5000  0.5000

Computed properties:
The symmetry is P4/mmm. The calculation puts the calculated total energy at -7.93 eV per atom.

---

[16]
A relaxed structure of Ta2HWAu, computed with PBE.

abc: 4.2257 4.2257 3.9753
angles: 90.00 90.00 90.00
Atoms (fractional coordinates):
Ta  0.0000  0.5000  0.0000
Ta  0.5000  0.0000  0.0000
H  0.0000  0.0000  0.0000
W  0.0000  0.0000  0.5000
Au  0.5000  0.5000  0.5000

Computed properties:
The symmetry is P4/mmm. The calculation puts the calculated total energy at -8.62 eV per atom.

---

[17]
A relaxed structure of ZrTa2HAu, computed with PBE.

abc: 4.1426 4.1426 4.5154
angles: 90.00 90.00 90.00
Atoms (fractional coordinates):
Zr  0.0000  0.0000  0.0000
Ta  0.0000  0.5000  0.5000
Ta  0.5000  0.0000  0.5000
H  0.0000  0.0000  0.5000
Au  0.5000  0.5000  0.0000

Computed properties:
The symmetry is P4/mmm. The calculation puts the calculated total energy at -7.90 eV per atom.

---

[18]
A relaxed structure of Zr2TaHAu, computed with PBE.

abc: 4.4536 4.4536 4.1185
angles: 90.00 90.00 90.00
Atoms (fractional coordinates):
Zr  0.0000  0.5000  0.0000
Zr  0.5000  0.0000  0.0000
Ta  0.0000  0.0000  0.5000
H  0.0000  0.0000  0.0000
Au  0.5000  0.5000  0.5000

Computed properties:
The symmetry is P4/mmm. The calculation puts the calculated total energy at -7.35 eV per atom.

---

[19]
A relaxed structure of Tb4HAu2, computed with PBE.

abc: 8.1879 8.1879 8.1879
angles: 146.72 146.72 47.78
Atoms (fractional coordinates):
Tb  0.0000  0.5000  0.5000
Tb  0.1842  0.1842  0.0000
Tb  0.5000  0.0000  0.5000
Tb  0.8158  0.8158  0.0000
H  0.0000  0.0000  0.0000
Au  0.3712  0.3712  0.0000
Au  0.6288  0.6288  0.0000

Computed properties:
The symmetry is I4/mmm. The calculation puts the calculated total energy at -4.60 eV per atom.

---

[20]
A relaxed structure of TbHAu, computed with PBE.

abc: 4.7205 3.8166 6.1928
angles: 90.00 109.29 90.00
Atoms (fractional coordinates):
Tb  0.1711  0.2500  0.2759
Tb  0.8289  0.7500  0.7241
H  0.0172  0.2500  0.8926
H  0.9828  0.7500  0.1074
Au  0.3753  0.2500  0.7925
Au  0.6247  0.7500  0.2075

Computed properties:
The symmetry is P2_1/m. For the energy above the most stable polymorph in this dataset, the calculation gives 171 meV/atom.

---

[21]
A relaxed structure of Tb3H12Au5, computed with PBE.

abc: 10.6074 10.6074 10.6074
angles: 109.47 109.47 109.47
Atoms (fractional coordinates):
Tb  0.1250  0.2500  0.3750
Tb  0.1250  0.3750  0.7500
Tb  0.2500  0.3750  0.1250
Tb  0.2500  0.8750  0.6250
Tb  0.3750  0.1250  0.2500
Tb  0.3750  0.7500  0.1250
Tb  0.6250  0.2500  0.8750
Tb  0.6250  0.8750  0.7500
Tb  0.7500  0.1250  0.3750
Tb  0.7500  0.6250  0.8750
Tb  0.8750  0.6250  0.2500
Tb  0.8750  0.7500  0.6250
H  0.0341  0.2129  0.1301
H  0.0341  0.3212  0.9040
H  0.0828  0.7129  0.6788
H  0.0828  0.8699  0.4040
H  0.0960  0.6301  0.4172
H  0.0960  0.9659  0.6788
H  0.1301  0.0341  0.2129
H  0.1301  0.5960  0.9172
H  0.1788  0.2129  0.5828
H  0.1788  0.4659  0.5960
H  0.2129  0.1301  0.0341
H  0.2129  0.5828  0.1788
H  0.2871  0.3212  0.9172
H  0.2871  0.4659  0.3699
H  0.3212  0.9040  0.0341
H  0.3212  0.9172  0.2871
H  0.3699  0.2871  0.4659
H  0.3699  0.5828  0.9040
H  0.4040  0.0828  0.8699
H  0.4040  0.8212  0.5341
H  0.4172  0.0960  0.6301
H  0.4172  0.8212  0.7871
H  0.4659  0.3699  0.2871
H  0.4659  0.5960  0.1788
H  0.5341  0.4040  0.8212
H  0.5341  0.6301  0.7129
H  0.5828  0.1788  0.2129
H  0.5828  0.9040  0.3699
H  0.5960  0.1788  0.4659
H  0.5960  0.9172  0.1301
H  0.6301  0.4172  0.0960
H  0.6301  0.7129  0.5341
H  0.6788  0.0828  0.7129
H  0.6788  0.0960  0.9659
H  0.7129  0.5341  0.6301
H  0.7129  0.6788  0.0828
H  0.7871  0.4172  0.8212
H  0.7871  0.8699  0.9659
H  0.8212  0.5341  0.4040
H  0.8212  0.7871  0.4172
H  0.8699  0.4040  0.0828
H  0.8699  0.9659  0.7871
H  0.9040  0.0341  0.3212
H  0.9040  0.3699  0.5828
H  0.9172  0.1301  0.5960
H  0.9172  0.2871  0.3212
H  0.9659  0.6788  0.0960
H  0.9659  0.7871  0.8699
Au  0.0000  0.0000  0.0000
Au  0.0000  0.0000  0.5000
Au  0.0000  0.5000  0.0000
Au  0.0000  0.5000  0.5000
Au  0.1250  0.7500  0.8750
Au  0.1250  0.8750  0.2500
Au  0.2500  0.1250  0.8750
Au  0.2500  0.6250  0.3750
Au  0.3750  0.2500  0.6250
Au  0.3750  0.6250  0.7500
Au  0.5000  0.0000  0.0000
Au  0.5000  0.0000  0.5000
Au  0.5000  0.5000  0.0000
Au  0.5000  0.5000  0.5000
Au  0.6250  0.3750  0.2500
Au  0.6250  0.7500  0.3750
Au  0.7500  0.3750  0.6250
Au  0.7500  0.8750  0.1250
Au  0.8750  0.1250  0.7500
Au  0.8750  0.2500  0.1250

Computed properties:
The symmetry is Ia-3d. The calculation puts the calculated total energy at -3.66 eV per atom.

---

[22]
A relaxed structure of TbHAu, computed with PBE.

abc: 3.7493 3.7493 7.0500
angles: 90.00 90.00 90.00
Atoms (fractional coordinates):
Tb  0.2500  0.2500  0.1792
Tb  0.7500  0.7500  0.8208
H  0.2500  0.7500  0.0000
H  0.7500  0.2500  0.0000
Au  0.2500  0.2500  0.6117
Au  0.7500  0.7500  0.3883

Computed properties:
The symmetry is P4/nmm. For the energy above the most stable polymorph in this dataset, the calculation gives 0 meV/atom.

---

[23]
A relaxed structure of TbHAu, computed with PBE.

abc: 5.2065 5.2065 5.2065
angles: 140.88 140.88 56.52
Atoms (fractional coordinates):
Tb  0.0000  0.0000  0.0000
H  0.4647  0.4647  0.0000
Au  0.6885  0.6885  0.0000

Computed properties:
The symmetry is I4mm. For the energy above the most stable polymorph in this dataset, the calculation gives 435 meV/atom.